Entry from Alexandria: crystalline Sr2DyCo2O6 at its relaxed geometry (GGA+U).

- Size of the total moment: 7.0 μB per cell
- Volume: 16.0 Å³/atom
- DFT total energy: -6.42 eV per atom

```
Sr2DyCo2O6
1.0
5.976 0.000 0.000
2.988 5.175 0.000
2.988 1.725 5.695
Sr Dy Co O
2 1 2 6
Direct
0.795 0.795 0.615
0.205 0.205 0.385
0.000 0.000 0.000
0.437 0.437 0.690
0.563 0.563 0.310
0.751 0.751 0.268
0.230 0.751 0.268
0.751 0.230 0.268
0.249 0.770 0.732
0.770 0.249 0.732
0.249 0.249 0.732
```